No. 1
A relaxed structure of ReP2PbS. Source: the Alexandria database, functional GGA-PBE.

The structure belongs to space group P4/mmm (No. 123); the cell edges are 4.5216, 4.5216 and 5.4707 Å and the angles 90.00°, 90.00° and 90.00°. The inequivalent atoms are Re at (0.0000, 0.0000, 0.0000), P at (0.0000, 0.5000, 0.0000), Pb at (0.5000, 0.5000, 0.5000) and S at (0.0000, 0.0000, 0.5000).

The uncorrected formation energy comes out at 29.7 kJ/mol of atoms. The value obtained for the density of states at the Fermi level is 2.542 states/eV/f.u. The total energy comes out at -5.913 eV/atom. The crystal system is tetragonal.

No. 2
A relaxed structure of NaPb2N. Source: the Alexandria database, functional GGA-PBE.

The structure belongs to space group I-42d (No. 122); the cell edges are 8.4320, 8.4320 and 5.3846 Å and the angles 90.00°, 90.00° and 90.00°. The inequivalent atoms are Na at (0.0000, 0.0000, 0.0000), Pb at (0.1407, 0.7500, 0.6250) and N at (0.0000, 0.0000, 0.5000).

The uncorrected formation energy comes out at 36.9 kJ/mol of atoms. The value obtained for the density of states at the Fermi level is 0.584 states/eV/f.u. The total energy comes out at -3.882 eV/atom. The crystal system is tetragonal.

No. 3
A relaxed structure of ZrSbIr3. Source: the Alexandria database, functional GGA-PBE.

The structure belongs to space group Pm-3m (No. 221); the cell edges are 4.8927, 4.8927 and 4.8927 Å and the angles 90.00°, 90.00° and 90.00°. The inequivalent atoms are Zr at (0.0000, 0.0000, 0.0000), Sb at (0.5000, 0.5000, 0.5000) and Ir at (0.0000, 0.0000, 0.5000).

The uncorrected formation energy comes out at 132.4 kJ/mol of atoms. The value obtained for the density of states at the Fermi level is 3.958 states/eV/f.u. The total energy comes out at -6.478 eV/atom. The crystal system is cubic.

No. 4
A relaxed structure of Cu5PSe4Br2. Source: the Alexandria database, functional GGA-PBE.

The structure belongs to space group Amm2 (No. 38); the cell edges are 7.3024, 11.2617 and 6.0818 Å and the angles 90.00°, 90.00° and 90.00°. The inequivalent atoms are Cu at (0.0000, 0.0000, 0.0000), Cu at (0.3011, 0.1672, 0.5037), P at (0.5000, 0.0000, 0.0546), Se at (0.2460, 0.0000, 0.2688), Se at (0.5000, 0.1745, 0.8469) and Br at (0.0000, 0.1643, 0.7163).

The uncorrected formation energy comes out at -13.6 kJ/mol of atoms. The value obtained for the density of states at the Fermi level is 1.000 states/eV/f.u. The total energy comes out at -3.739 eV/atom. The crystal system is orthorhombic.

No. 5
A relaxed structure of Li3Cd2Cl7. Source: the Alexandria database, functional GGA-PBE.

The structure belongs to space group Cmc2_1 (No. 36); the cell edges are 23.7397, 6.7536 and 6.6928 Å and the angles 90.00°, 90.00° and 90.00°. The inequivalent atoms are Li at (0.0000, 0.2228, 0.0000), Li at (0.2056, 0.2910, 0.9379), Cd at (0.1057, 0.2495, 0.4781), Cl at (0.0000, 0.1165, 0.3691), Cl at (0.0734, 0.4028, 0.8155), Cl at (0.1410, 0.0918, 0.1489) and Cl at (0.2099, 0.3753, 0.5728).

The uncorrected formation energy comes out at -135.9 kJ/mol of atoms. The value obtained for the density of states at the Fermi level is 0.000 states/eV/f.u. The total energy comes out at -3.117 eV/atom. The crystal system is orthorhombic.

No. 6
A relaxed structure of Re3Ir. Source: the Alexandria database, functional GGA-PBE.

The structure belongs to space group Pm-3m (No. 221); the cell edges are 4.7670, 4.7670 and 4.7670 Å and the angles 90.00°, 90.00° and 90.00°. The inequivalent atoms are Re at (0.0000, 0.0000, 0.5000) and Ir at (0.0000, 0.0000, 0.0000).

The value obtained for the formation energy is 3.1595 eV/atom. The value obtained for the density of states at the Fermi level is 4.241 states/eV/f.u. The total energy comes out at -8.392 eV/atom. The crystal system is cubic.

No. 7
A relaxed structure of InOs4Se. Source: the Alexandria database, functional GGA-PBE.

The structure belongs to space group F-43m (No. 216); the cell edges are 7.4361, 7.4361 and 7.4361 Å and the angles 90.00°, 90.00° and 90.00°. The inequivalent atoms are In at (0.0000, 0.0000, 0.0000), Os at (0.1246, 0.1246, 0.6246) and Se at (0.2500, 0.2500, 0.2500).

The uncorrected formation energy comes out at 99.6 kJ/mol of atoms. The value obtained for the density of states at the Fermi level is 9.458 states/eV/f.u. The total energy comes out at -7.491 eV/atom. The crystal system is cubic.

No. 8
A relaxed structure of TlTe2CO. Source: the Alexandria database, functional GGA-PBE.

The structure belongs to space group P4/mmm (No. 123); the cell edges are 5.8957, 5.8957 and 4.1796 Å and the angles 90.00°, 90.00° and 90.00°. The inequivalent atoms are Tl at (0.0000, 0.0000, 0.0000), Te at (0.0000, 0.5000, 0.0000), C at (0.0000, 0.0000, 0.5000) and O at (0.5000, 0.5000, 0.5000).

The uncorrected formation energy comes out at 200.8 kJ/mol of atoms. The value obtained for the density of states at the Fermi level is 7.688 states/eV/f.u. The total energy comes out at -2.485 eV/atom. The crystal system is tetragonal.

No. 9
A relaxed structure of Sr2LaSb. Source: the Alexandria database, functional GGA-PBE.

The structure belongs to space group P4/mmm (No. 123); the cell edges are 4.5489, 4.5489 and 7.1720 Å and the angles 90.00°, 90.00° and 90.00°. The inequivalent atoms are Sr at (0.0000, 0.0000, 0.2256), La at (0.5000, 0.5000, 0.5000) and Sb at (0.5000, 0.5000, 0.0000).

The uncorrected formation energy comes out at -38.6 kJ/mol of atoms. The value obtained for the density of states at the Fermi level is 3.434 states/eV/f.u. The total energy comes out at -3.504 eV/atom. The crystal system is tetragonal.

No. 10
A relaxed structure of K6Rb5Au. Source: the Alexandria database, functional GGA-PBE.

The structure belongs to space group C2/m (No. 12); the cell edges are 12.8556, 20.4834 and 7.6147 Å and the angles 90.00°, 118.38° and 90.00°. The inequivalent atoms are K at (0.1644, 0.0000, 0.2436), K at (0.1848, 0.1252, 0.7144), Rb at (0.0000, 0.2200, 0.0000), Rb at (0.0000, 0.3537, 0.5000), Rb at (0.0000, 0.5000, 0.0000) and Au at (0.0000, 0.0000, 0.5000).

The value obtained for the formation energy is -0.0253 eV/atom. The value obtained for the density of states at the Fermi level is 7.813 states/eV/f.u. The total energy comes out at -1.250 eV/atom. The crystal system is monoclinic.

No. 11
A relaxed structure of TlTe2As. Source: the Alexandria database, functional GGA-PBE.

The structure belongs to space group Pmmm (No. 47); the cell edges are 3.7332, 5.3602 and 5.4164 Å and the angles 90.00°, 90.00° and 90.00°. The inequivalent atoms are Tl at (0.0000, 0.0000, 0.0000), Te at (0.0000, 0.5000, 0.5000), Te at (0.5000, 0.0000, 0.5000) and As at (0.5000, 0.5000, 0.0000).

The uncorrected formation energy comes out at 27.0 kJ/mol of atoms. The value obtained for the density of states at the Fermi level is 3.043 states/eV/f.u. The total energy comes out at -3.045 eV/atom. The crystal system is orthorhombic.

No. 12
A relaxed structure of Tb2Sm8Y. Source: the Alexandria database, functional GGA-PBE.

The structure belongs to space group C2/m (No. 12); the cell edges are 11.2042, 7.4382 and 9.3043 Å and the angles 90.00°, 106.46° and 90.00°. The inequivalent atoms are Tb at (0.1428, 0.0000, 0.1270), Sm at (0.0687, 0.2824, 0.7775), Sm at (0.1764, 0.5000, 0.1259), Sm at (0.1864, 0.5000, 0.4985) and Y at (0.0000, 0.0000, 0.5000).

The value obtained for the formation energy is 0.1246 eV/atom. The value obtained for the density of states at the Fermi level is 18.532 states/eV/f.u. The total energy comes out at -4.737 eV/atom. The crystal system is monoclinic.